[1]
First-principles (PBE) data for an optimized crystal structure of Pm4Zn3Hg2, as listed in Alexandria via LeMat-Bulk.

## Properties
**Space group**: C2/m (12)
**Density of states at the Fermi level**: 0.96 states/eV/atom
**DFT formation energy**: -30.4 kJ/mol of atoms
**Size of the total moment**: 0.0 μB/f.u.

Cell: 4.963 5.765 8.928 Å, 79.42 90.00 64.51°
Positions (direct):
Pm  0.084  0.831  0.341
Pm  0.916  0.169  0.659
Pm  0.359  0.282  0.087
Pm  0.641  0.718  0.913
Zn  0.619  0.762  0.560
Zn  0.381  0.238  0.440
Zn  0.000  0.000  0.000
Hg  0.239  0.522  0.711
Hg  0.761  0.478  0.289



[2]
First-principles (PBE) data for an optimized crystal structure of Th2InSi, as listed in Alexandria via LeMat-Bulk.

## Properties
**ΔE_f (raw)**: -0.347 eV per atom
**Space group**: P4/mmm (123)
**Density of states at the Fermi level**: 0.84 states/eV/atom
**Size of the total moment**: 0.0 μB/f.u.
**Excess energy over the best structure of this formula in the dataset**: 0 meV per atom

Cell: 3.801 3.801 7.303 Å, 90.00 90.00 90.00°
Positions (direct):
In  0.500  0.500  0.500
Si  0.500  0.500  0.000
Th  0.000  0.000  0.222
Th  0.000  0.000  0.778